## ZrAlCoC2 (PBEsol)

Data for an optimized crystal structure of ZrAlCoC2.

The structure in extended XYZ format:
```
5
Lattice="3.776 0.000 0.000 0.000 3.776 0.000 0.000 0.000 5.172" Properties=species:S:1:pos:R:3 pbc="T T T"
C 0.000 1.888 0.000
C 1.888 0.000 0.000
Zr 0.000 0.000 2.586
Al 0.000 0.000 0.000
Co 1.888 1.888 2.586
```

Symmetry: P4/mmm, No. 123
ΔE_f in meV/atom: 1950

## Ga2Cu2Ag (PBEsol)

Data for an optimized crystal structure of Ga2Cu2Ag.

The structure in extended XYZ format:
```
5
Lattice="-1.417 -1.085 2.986 3.040 -1.413 0.929 0.836 6.577 0.760" Properties=species:S:1:pos:R:3 pbc="T T T"
Ga 1.153 -0.145 2.521
Ga 1.306 4.224 2.154
Cu 2.343 1.957 1.823
Cu 0.115 2.122 2.852
Ag 0.000 0.000 0.000
```

Symmetry: I4/mmm, No. 139
ΔE_f in meV/atom: 85
Energy above the most stable polymorph in this dataset in eV/atom: 0.105

## ScZnPt (PBEsol)

Data for an optimized crystal structure of ScZnPt.

The structure in extended XYZ format:
```
3
Lattice="-0.021 -0.968 -3.253 2.268 -2.424 0.707 -4.264 -1.002 2.096" Properties=species:S:1:pos:R:3 pbc="T T T"
Sc 0.113 -2.565 -1.008
Zn -2.125 -1.826 0.557
Pt -0.004 -0.003 0.001
```

Symmetry: I4mm, No. 107
ΔE_f in meV/atom: -849

## SrCr2Cu (PBEsol)

Data for an optimized crystal structure of SrCr2Cu.

The structure in extended XYZ format:
```
4
Lattice="3.014 0.019 0.000 -0.284 5.081 0.000 -1.365 -2.550 4.946" Properties=species:S:1:pos:R:3 pbc="T T T"
Cr 0.682 1.275 2.473
Cr -0.682 -1.275 2.473
Cu 1.507 0.009 0.000
Sr -0.142 2.540 0.000
```

Symmetry: C2/m, No. 12
ΔE_f in meV/atom: 1168
Energy above the most stable polymorph in this dataset in eV/atom: 0.418

## ZrCrIn (PBEsol)

Data for an optimized crystal structure of ZrCrIn.

The structure in extended XYZ format:
```
3
Lattice="-4.362 -1.421 -0.332 -0.923 -4.289 -1.384 -1.651 -3.078 2.994" Properties=species:S:1:pos:R:3 pbc="T T T"
Zr 0.000 0.000 0.000
Cr -3.468 -4.394 0.639
In -5.202 -6.591 0.958
```

Symmetry: F-43m, No. 216
ΔE_f in meV/atom: 695
Energy above the most stable polymorph in this dataset in eV/atom: 0.000

## Y2HgO4 (PBEsol)

Data for an optimized crystal structure of Y2HgO4.

The structure in extended XYZ format:
```
14
Lattice="3.587 0.000 0.000 1.794 6.746 -0.024 1.794 1.364 8.427" Properties=species:S:1:pos:R:3 pbc="T T T"
Y 3.587 5.865 3.870
Y 5.381 4.605 6.733
Y 3.587 2.244 4.533
Y 1.794 3.504 1.670
O 1.794 1.512 3.252
O 3.587 4.348 5.487
O 5.381 5.687 2.367
O 3.587 3.761 2.916
O 3.587 2.442 0.444
O 1.794 2.423 6.036
O 5.381 6.597 5.151
O 3.587 5.667 7.959
Hg 3.587 7.454 7.044
Hg 3.587 0.656 1.359
```

Symmetry: C2/m, No. 12
Formation energy from raw total energies in eV/f.u.: -18.9
Energy above the most stable polymorph in this dataset in eV/atom: 0.000

## TlIn3S5 (PBEsol)

Data for an optimized crystal structure of TlIn3S5.

The structure in extended XYZ format:
```
18
Lattice="-3.645 -0.825 -0.795 1.172 -6.526 -7.780 -0.484 -10.756 4.206" Properties=species:S:1:pos:R:3 pbc="T T T"
In 0.344 -8.641 -1.787
In -0.340 -10.622 -5.776
In -1.265 -7.156 -5.135
In -1.692 -10.952 0.766
In -2.617 -7.485 1.407
In 0.000 0.000 0.000
S -1.188 -10.840 -1.660
S -0.518 -8.398 -7.266
S -2.696 -9.800 -5.007
S -0.139 -12.777 -4.456
S -2.438 -9.710 2.897
S 0.389 -5.274 -5.489
S -1.768 -7.268 -2.710
S -0.260 -8.308 0.637
S -2.817 -5.331 0.087
S -3.345 -12.833 1.120
Tl -0.589 -4.430 -1.882
Tl -2.367 -13.678 -2.487
```

Symmetry: C2/m, No. 12
Formation energy from raw total energies in eV/f.u.: -5.1

## SrAlTc2 (PBEsol)

Data for an optimized crystal structure of SrAlTc2.

The structure in extended XYZ format:
```
4
Lattice="3.077 0.000 0.000 0.000 3.077 0.000 0.000 0.000 7.907" Properties=species:S:1:pos:R:3 pbc="T T T"
Sr 1.539 1.539 6.006
Al 0.000 0.000 3.461
Tc 0.000 0.000 0.550
Tc 1.539 1.539 1.843
```

Symmetry: P4mm, No. 99
ΔE_f in meV/atom: 134

Calculated calculated volume, 14.75 15.01 16.21 18.94 22.94 14.57 23.25 18.72 A^3/atom (same order as the records).
Calculated spin magnetization, 1.473 0.000 0.000 7.601 4.056 0.000 0.000 0.000 μB/f.u. (same order as the records).